(1)
# Sr2InH12Rh3

A relaxed Sr2InH12Rh3 crystal (PBE-GGA, the Alexandria database). Values from VASP.

raw total energy	-4.027	eV/atom
crystal system	trigonal
space-group type	No. 166

Quantum ESPRESSO input file:
```
&SYSTEM
  ibrav = 0, nat = 18, ntyp = 4
/
ATOMIC_SPECIES
Sr 87.62 Sr.upf
In 114.82 In.upf
H 1.01 H.upf
Rh 102.91 Rh.upf
CELL_PARAMETERS angstrom
3.302 1.906 4.758
-3.302 1.906 4.758
0.000 -3.813 4.758
ATOMIC_POSITIONS angstrom
Sr 0.000 0.000 1.691
Sr 0.000 0.000 12.583
In 0.000 0.000 7.137
H -1.677 -0.968 6.430
H 0.000 -1.594 4.594
H -1.380 0.797 4.594
H 0.000 -1.936 7.844
H -1.677 0.968 7.844
H -1.380 -0.797 9.680
H 1.380 0.797 4.594
H 1.677 -0.968 6.430
H 0.000 1.936 6.430
H 1.380 -0.797 9.680
H 0.000 1.594 9.680
H 1.677 0.968 7.844
Rh -1.651 -0.953 4.758
Rh -1.651 0.953 9.516
Rh 0.000 1.906 4.758
```

=====

(2)
# H2PdCl6

A relaxed H2PdCl6 crystal (PBE-GGA, the Alexandria database). Values from VASP.

raw total energy	-2.838	eV/atom
crystal system	monoclinic
space-group type	No. 15

Quantum ESPRESSO input file:
```
&SYSTEM
  ibrav = 0, nat = 18, ntyp = 3
/
ATOMIC_SPECIES
H 1.01 H.upf
Pd 106.42 Pd.upf
Cl 35.45 Cl.upf
CELL_PARAMETERS angstrom
6.915 -7.905 0.000
6.915 7.905 0.000
-0.186 0.000 4.664
ATOMIC_POSITIONS angstrom
H 2.756 2.096 1.537
H 2.663 -2.096 3.869
H 10.981 2.096 0.794
H 10.888 -2.096 3.126
Pd 6.869 4.590 1.166
Pd 6.776 -4.590 3.498
Cl 5.676 6.245 2.192
Cl 3.864 2.120 0.776
Cl 8.061 6.245 0.140
Cl 5.974 2.991 2.573
Cl 7.577 2.991 4.422
Cl 3.771 -2.120 3.108
Cl 9.873 2.120 1.556
Cl 6.067 -2.991 0.241
Cl 7.670 -2.991 2.090
Cl 5.583 -6.245 4.524
Cl 9.780 -2.120 3.887
Cl 7.968 -6.245 2.471
```

=====

(3)
# CdOsAu

A relaxed CdOsAu crystal (PBE-GGA, the Alexandria database). Values from VASP.

offset from the most stable computed form	553	meV/atom
formation energy	1.0237	eV/atom
crystal system	cubic
space-group type	No. 216

Quantum ESPRESSO input file:
```
&SYSTEM
  ibrav = 0, nat = 12, ntyp = 3
/
ATOMIC_SPECIES
Cd 112.41 Cd.upf
Os 190.23 Os.upf
Au 196.97 Au.upf
CELL_PARAMETERS angstrom
6.331 0.000 0.000
0.000 6.331 0.000
0.000 0.000 6.331
ATOMIC_POSITIONS angstrom
Cd 0.000 0.000 0.000
Cd 0.000 3.165 3.165
Cd 3.165 0.000 3.165
Cd 3.165 3.165 0.000
Os 1.583 1.583 1.583
Os 1.583 4.748 4.748
Os 4.748 1.583 4.748
Os 4.748 4.748 1.583
Au 0.000 0.000 3.165
Au 0.000 3.165 0.000
Au 3.165 0.000 0.000
Au 3.165 3.165 3.165
```

=====

Repeat the second record exactly.
# H2PdCl6

A relaxed H2PdCl6 crystal (PBE-GGA, the Alexandria database). Values from VASP.

raw total energy	-2.838	eV/atom
crystal system	monoclinic
space-group type	No. 15

Quantum ESPRESSO input file:
```
&SYSTEM
  ibrav = 0, nat = 18, ntyp = 3
/
ATOMIC_SPECIES
H 1.01 H.upf
Pd 106.42 Pd.upf
Cl 35.45 Cl.upf
CELL_PARAMETERS angstrom
6.915 -7.905 0.000
6.915 7.905 0.000
-0.186 0.000 4.664
ATOMIC_POSITIONS angstrom
H 2.756 2.096 1.537
H 2.663 -2.096 3.869
H 10.981 2.096 0.794
H 10.888 -2.096 3.126
Pd 6.869 4.590 1.166
Pd 6.776 -4.590 3.498
Cl 5.676 6.245 2.192
Cl 3.864 2.120 0.776
Cl 8.061 6.245 0.140
Cl 5.974 2.991 2.573
Cl 7.577 2.991 4.422
Cl 3.771 -2.120 3.108
Cl 9.873 2.120 1.556
Cl 6.067 -2.991 0.241
Cl 7.670 -2.991 2.090
Cl 5.583 -6.245 4.524
Cl 9.780 -2.120 3.887
Cl 7.968 -6.245 2.471
```

=====

What is the formula in the second record? H2PdCl6

=====

Which formula does entry 3 have? CdOsAu

=====

Please write out number 1 again, unchanged.
# Sr2InH12Rh3

A relaxed Sr2InH12Rh3 crystal (PBE-GGA, the Alexandria database). Values from VASP.

raw total energy	-4.027	eV/atom
crystal system	trigonal
space-group type	No. 166

Quantum ESPRESSO input file:
```
&SYSTEM
  ibrav = 0, nat = 18, ntyp = 4
/
ATOMIC_SPECIES
Sr 87.62 Sr.upf
In 114.82 In.upf
H 1.01 H.upf
Rh 102.91 Rh.upf
CELL_PARAMETERS angstrom
3.302 1.906 4.758
-3.302 1.906 4.758
0.000 -3.813 4.758
ATOMIC_POSITIONS angstrom
Sr 0.000 0.000 1.691
Sr 0.000 0.000 12.583
In 0.000 0.000 7.137
H -1.677 -0.968 6.430
H 0.000 -1.594 4.594
H -1.380 0.797 4.594
H 0.000 -1.936 7.844
H -1.677 0.968 7.844
H -1.380 -0.797 9.680
H 1.380 0.797 4.594
H 1.677 -0.968 6.430
H 0.000 1.936 6.430
H 1.380 -0.797 9.680
H 0.000 1.594 9.680
H 1.677 0.968 7.844
Rh -1.651 -0.953 4.758
Rh -1.651 0.953 9.516
Rh 0.000 1.906 4.758
```